Compound: Ce2PuGa2Ge2
Source: Alexandria via LeMat-Bulk
Functional: GGA-PBE
Structure: optimized geometry

a b c (Å): 4.4838 4.4838 9.1228
angles (deg): 75.77 75.77 60.00
Last column: nearest neighbours and their distance in Å.
Fractional coordinates of all 7 atoms:
Ce (0.1355, 0.1355, 0.5935)  3 Ce 3.06, 3 Ga 3.09, 3 Ge 3.16
Ce (0.8645, 0.8645, 0.4065)  3 Ce 3.06, 3 Ga 3.09, 3 Ge 3.16
Pu (0.0000, 0.0000, 0.0000)  6 Ge 3.12, 6 Ga 3.19
Ga (0.5956, 0.5956, 0.2133)  3 Ge 2.59
Ga (0.4044, 0.4044, 0.7867)  3 Ge 2.59
Ge (0.7331, 0.7331, 0.8008)  3 Ga 2.59
Ge (0.2669, 0.2669, 0.1992)  3 Ga 2.59

Properties
formation energy = -325.6 meV/atom
mass density = 8.820 g cm⁻³
crystal system = trigonal
N(E_F) = 1.956 states/eV/atom